Below is a relaxed Pm3ZnNi2 crystal, with properties calculated at the PBE level.

Spin magnetization (Bohr magnetons per cell): 0.00
Formation energy from the elements (meV per atom): -267
Density (g/cm3): 7.7

Structure (CIF):
```
data_Pm3ZnNi2
_space_group_name_H-M_alt 'P 1'
_space_group_IT_number 1
_space_group_name_Hall 'P 1'
_cell_length_a 3.535
_cell_length_b 3.535
_cell_length_c 10.612
_cell_angle_alpha 90.00
_cell_angle_beta 90.00
_cell_angle_gamma 90.00
loop_
_atom_site_label
_atom_site_type_symbol
_atom_site_fract_x
_atom_site_fract_y
_atom_site_fract_z
Pm1 Pm 0.000 0.000 0.000
Pm2 Pm 0.000 0.000 0.319
Pm3 Pm 0.000 0.000 0.681
Zn1 Zn 0.500 0.500 0.500
Ni1 Ni 0.500 0.500 0.166
Ni2 Ni 0.500 0.500 0.834
```